# 1
VASP calculation (PBE) on an optimized crystal structure of Ac12Sn5Rh2.

Results
Calculated formation energy   -0.46 eV per atom
N(E_F)   19.592 states/eV per cell

Lattice parameters (Å, degrees): 10.316 10.316 10.534 104.73 104.73 47.46
Positions (direct):
Ac 0.003 0.003 0.228
Ac 0.079 0.598 0.916
Ac 0.106 0.598 0.428
Ac 0.402 0.894 0.572
Ac 0.402 0.921 0.084
Ac 0.496 0.496 0.179
Ac 0.504 0.504 0.821
Ac 0.598 0.079 0.916
Ac 0.598 0.106 0.428
Ac 0.894 0.402 0.572
Ac 0.921 0.402 0.084
Ac 0.997 0.997 0.772
Sn 0.189 0.189 0.834
Sn 0.198 0.198 0.361
Sn 0.500 0.500 0.500
Sn 0.802 0.802 0.639
Sn 0.811 0.811 0.166
Rh 0.219 0.781 0.000
Rh 0.781 0.219 0.000

# 2
VASP calculation (PBE) on an optimized crystal structure of Nd4SbTe2S.

Results
N(E_F)   3.757 states/eV per cell
Final energy   -45.72 eV per cell

Lattice parameters (Å, degrees): 7.599 4.360 7.749 90.00 108.91 90.00
Positions (direct):
Nd 0.223 0.000 0.218
Nd 0.238 0.500 0.772
Nd 0.762 0.500 0.228
Nd 0.777 0.000 0.782
Sb 0.500 0.000 0.000
Te 0.000 0.000 0.500
Te 0.500 0.500 0.500
S 0.000 0.500 0.000